i:
The following is a PBE calculation of NiRh2Se after structural relaxation, from Alexandria.

Computed properties:
* calculated volume: 14.63 Å³/atom
* SG: Cmmm (65)
* calculated density: 9744 kg/m³

POSCAR file:
```
NiRh2Se
1.0
-0.624 -2.614 0.671
0.592 0.580 -2.643
8.392 -1.610 1.527
Se Rh Ni
1 2 1
Cartesian
2.082 -1.420 -0.604
4.260 -0.817 0.775
8.327 -1.598 1.516
6.278 -2.225 0.160
```


ii:
The following is a PBE calculation of NiRh2Se after structural relaxation, from Alexandria.

Computed properties:
* calculated volume: 14.60 Å³/atom
* SG: Cmm2 (35)
* calculated density: 9765 kg/m³

POSCAR file:
```
NiRh2Se
1.0
2.771 -0.010 0.000
-1.350 2.420 0.000
0.000 0.000 8.726
Se Rh Ni
1 2 1
Cartesian
0.000 0.000 4.477
0.000 0.000 8.639
0.710 1.205 2.186
0.710 1.205 6.514
```


iii:
The following is a PBE calculation of NiRh2Se after structural relaxation, from Alexandria.

Computed properties:
* calculated volume: 14.07 Å³/atom
* SG: Cm (8)
* calculated density: 10137 kg/m³

POSCAR file:
```
NiRh2Se
1.0
-0.025 3.039 3.811
0.864 0.412 4.780
4.052 1.617 0.667
Rh Ni Se
2 1 1
Cartesian
3.488 3.792 7.084
0.976 3.462 8.496
1.116 1.165 2.136
2.594 2.633 4.762
```


iv:
The following is a PBE calculation of NiRh2Se after structural relaxation, from Alexandria.

Computed properties:
* calculated volume: 19.73 Å³/atom
* SG: I-42d (122)
* calculated density: 7226 kg/m³

POSCAR file:
```
NiRh2Se
1.0
-1.516 -4.741 -1.321
0.825 -1.608 4.823
-5.953 -1.778 3.176
Rh Ni Se
4 2 2
Cartesian
-2.330 -3.602 0.573
-4.723 -3.717 3.702
-5.070 -6.887 5.438
-1.164 -2.049 3.641
-0.345 -3.174 1.751
-2.737 -3.280 4.875
-3.907 -4.847 1.803
0.000 0.000 0.000
```


Stability summary - winner: iii; margin: 258 meV per atom.